No. 1
ErZr2Ta: relaxed, PBE.

abc: 3.6100 3.6100 7.2275
angles: 90.00 90.00 90.00
Positions (direct):
1 Er 0.0000 0.0000 0.0000
2 Zr 0.5000 0.5000 0.2937
3 Zr 0.5000 0.5000 0.7063
4 Ta 0.0000 0.0000 0.5000

Values from the calculation:
* DOS at the Fermi energy: 6.3 states/eV/f.u.


No. 2
ZrInRh2: relaxed, PBE.

abc: 4.5644 4.5644 3.3396
angles: 90.00 90.00 93.93
Positions (direct):
1 Zr 0.0000 0.0000 0.0000
2 In 0.5000 0.5000 0.0000
3 Rh 0.0000 0.5000 0.5000
4 Rh 0.5000 0.0000 0.5000

Values from the calculation:
* DOS at the Fermi energy: 1.8 states/eV/f.u.


No. 3
NaScSb2Te: relaxed, PBE.

abc: 5.5210 5.5210 5.6578
angles: 90.00 90.00 90.00
Positions (direct):
1 Na 0.0000 0.0000 0.0000
2 Sc 0.5000 0.5000 0.5000
3 Sb 0.0000 0.5000 0.5000
4 Sb 0.5000 0.0000 0.5000
5 Te 0.5000 0.5000 0.0000

Values from the calculation:
* DOS at the Fermi energy: 4.2 states/eV/f.u.
* raw formation energy: -1.2 eV/f.u.


No. 4
YNiOs: relaxed, PBE.

abc: 4.7075 5.1820 5.3199
angles: 61.24 87.52 75.09
Positions (direct):
1 Y 0.0000 0.0000 0.0000
2 Y 0.3186 0.2541 0.3443
3 Ni 0.7205 0.5766 0.9889
4 Ni 0.8499 0.0641 0.4853
5 Os 0.2308 0.5851 0.6870
6 Os 0.7220 0.5814 0.4984

Values from the calculation:
* DOS at the Fermi energy: 2.4 states/eV/f.u.


No. 5
Cd4In2SnHg: relaxed, PBE.

abc: 6.1388 3.4297 9.7125
angles: 90.00 101.02 90.00
Positions (direct):
1 Cd 0.2432 0.0000 0.2458
2 Cd 0.2517 0.5000 0.7531
3 Cd 0.7483 0.5000 0.2469
4 Cd 0.7568 0.0000 0.7542
5 In 0.5000 0.0000 0.0000
6 In 0.5000 0.5000 0.5000
7 Sn 0.0000 0.0000 0.5000
8 Hg 0.0000 0.5000 0.0000

Values from the calculation:
* DOS at the Fermi energy: 2.2 states/eV/f.u.


No. 6
Rb2HfIBr5: relaxed, PBE.

abc: 7.8847 7.8847 7.8847
angles: 120.66 120.66 88.86
Positions (direct):
1 Rb 0.0000 0.5000 0.5000
2 Rb 0.5000 0.0000 0.5000
3 Hf 0.2479 0.2479 0.0000
4 I 0.5046 0.5046 0.0000
5 Br 0.0152 0.0152 0.0000
6 Br 0.0152 0.0152 0.5256
7 Br 0.0152 0.4896 0.0000
8 Br 0.4896 0.0152 0.0000
9 Br 0.4896 0.4896 0.4744

Values from the calculation:
* DOS at the Fermi energy: 0.0 states/eV/f.u.
* raw formation energy: -14.0 eV/f.u.


One value per record, in order, for electronic total energy: -8.234; -7.164; -4.043; -7.936; -1.642; -3.976 eV per atom.